# 1
Ag5As | meta-GGA SCAN | PBEsol geometry

Cell: 4.645 5.005 5.005 Å, 120.00 90.00 90.00°
Element x y z (fractional)
Ag  0.000  0.000  0.668
Ag  0.500  0.333  0.667
Ag  0.000  0.668  0.000
Ag  0.000  0.332  0.332
Ag  0.500  0.667  0.333
As  0.500  0.000  0.000

Properties
The value obtained for the energy above the most stable polymorph in this dataset is 0.006 eV/atom. The crystal system is hexagonal. The calculation puts the formation energy at 0.35 eV per formula unit. As for the symmetry: P-62m.


# 2
Ag5As | meta-GGA SCAN | PBEsol geometry

Cell: 2.851 2.851 12.522 Å, 90.00 90.00 90.00°
Element x y z (fractional)
Ag  0.500  0.500  0.664
As  0.500  0.500  0.000
Ag  0.500  0.500  0.336
Ag  0.000  0.000  0.172
Ag  0.000  0.000  0.828
Ag  0.000  0.000  0.500

Properties
The value obtained for the energy above the most stable polymorph in this dataset is 0.013 eV/atom. The crystal system is tetragonal. The calculation puts the formation energy at 0.39 eV per formula unit. As for the symmetry: P4/mmm.


# 3
AgAs3 | meta-GGA SCAN | PBEsol geometry

Cell: 3.962 6.444 6.444 Å, 111.90 90.00 90.00°
Element x y z (fractional)
Ag  0.750  0.593  0.407
As  0.250  0.886  0.703
As  0.750  0.703  0.886
Ag  0.250  0.407  0.593
As  0.750  0.114  0.297
As  0.250  0.297  0.114
As  0.750  0.238  0.762
As  0.250  0.762  0.238

Properties
The value obtained for the energy above the most stable polymorph in this dataset is 0.167 eV/atom. The crystal system is orthorhombic. The calculation puts the formation energy at 1.15 eV per formula unit. As for the symmetry: Cmcm.


# 4
AgAs3 | meta-GGA SCAN | PBEsol geometry

Cell: 2.903 4.247 5.979 Å, 90.00 90.00 90.00°
Element x y z (fractional)
As  0.000  0.000  0.500
Ag  0.000  0.000  0.000
As  0.500  0.500  0.773
As  0.500  0.500  0.227

Properties
The value obtained for the energy above the most stable polymorph in this dataset is 0.302 eV/atom. The crystal system is orthorhombic. The calculation puts the formation energy at 1.69 eV per formula unit. As for the symmetry: Pmmm.


# 5
Ag2As | meta-GGA SCAN | PBEsol geometry

Cell: 2.951 3.961 5.058 Å, 113.05 106.96 90.00°
Element x y z (fractional)
Ag  0.334  0.334  0.667
Ag  0.666  0.666  0.333
As  0.000  0.000  0.000

Properties
The value obtained for the energy above the most stable polymorph in this dataset is 0.000 eV/atom. The crystal system is orthorhombic. The calculation puts the formation energy at 0.43 eV per formula unit. As for the symmetry: Immm.


# 6
AgAsAu2 | meta-GGA SCAN | PBEsol geometry

Cell: 2.872 2.872 8.380 Å, 90.00 90.00 91.21°
Element x y z (fractional)
Au  0.000  0.000  0.998
As  0.500  0.500  0.251
Ag  0.000  0.000  0.503
Au  0.500  0.500  0.748

Properties
The crystal system is orthorhombic. The calculation puts the formation energy at 0.40 eV per formula unit. As for the symmetry: Cmm2.


# 7
AgAs2Au | meta-GGA SCAN | PBEsol geometry

Cell: 2.803 2.803 9.104 Å, 90.00 90.00 93.67°
Element x y z (fractional)
As  0.000  0.000  0.245
As  0.000  0.000  0.755
Au  0.500  0.500  0.500
Ag  0.500  0.500  0.000

Properties
The value obtained for the energy above the most stable polymorph in this dataset is 0.100 eV/atom. The crystal system is orthorhombic. The calculation puts the formation energy at 1.01 eV per formula unit. As for the symmetry: Cmmm.


# 8
AgAs2Au | meta-GGA SCAN | PBEsol geometry

Cell: 2.765 4.816 5.414 Å, 90.00 89.94 90.00°
Element x y z (fractional)
As  0.500  0.000  0.744
Au  0.500  0.500  0.000
Ag  0.000  0.500  0.500
As  0.500  0.000  0.256

Properties
The value obtained for the energy above the most stable polymorph in this dataset is 0.000 eV/atom. The crystal system is orthorhombic. The calculation puts the formation energy at 0.61 eV per formula unit. As for the symmetry: Pmmm.


# 9
AgAsAu2 | meta-GGA SCAN | PBEsol geometry

Cell: 2.863 2.863 8.408 Å, 90.00 90.00 89.96°
Element x y z (fractional)
Au  0.000  0.000  0.255
As  0.500  0.500  0.000
Au  0.000  0.000  0.745
Ag  0.500  0.500  0.500

Properties
The crystal system is tetragonal. The calculation puts the formation energy at 0.30 eV per formula unit. As for the symmetry: P4/mmm.


# 10
Ag2AsAu | meta-GGA SCAN | PBEsol geometry

Cell: 4.011 4.011 5.110 Å, 113.11 113.11 90.00°
Element x y z (fractional)
Au  0.000  0.000  0.000
Ag  0.250  0.750  0.500
As  0.500  0.500  0.000
Ag  0.750  0.250  0.500

Properties
The crystal system is tetragonal. The calculation puts the formation energy at 0.29 eV per formula unit. As for the symmetry: I4/mmm.


# 11
AgAs2Au | meta-GGA SCAN | PBEsol geometry

Cell: 3.437 4.194 5.383 Å, 107.95 90.00 90.00°
Element x y z (fractional)
Au  0.500  0.500  0.000
Ag  0.000  0.000  0.500
As  0.000  0.000  0.000
As  0.500  0.500  0.500

Properties
The value obtained for the energy above the most stable polymorph in this dataset is 0.013 eV/atom. The crystal system is monoclinic. The calculation puts the formation energy at 0.66 eV per formula unit. As for the symmetry: P2/m.


# 12
Ag2AsAu | meta-GGA SCAN | PBEsol geometry

Cell: 2.848 5.112 5.112 Å, 113.13 90.00 90.00°
Element x y z (fractional)
As  0.500  0.000  0.000
Ag  0.000  0.500  0.000
Ag  0.000  0.000  0.500
Au  0.500  0.500  0.500

Properties
The crystal system is orthorhombic. The calculation puts the formation energy at 0.30 eV per formula unit. As for the symmetry: Cmmm.


# 13
AgAsAuBr2 | meta-GGA SCAN | PBEsol geometry

Cell: 4.957 5.241 5.241 Å, 90.00 90.00 90.00°
Each line ends with the local moment (μB).
Element x y z (fractional)
Br  0.000  0.000  0.500  0.08
As  0.500  0.000  0.000  0.61
Ag  0.500  0.500  0.500  0.03
Au  0.000  0.000  0.000  0.05
Br  0.000  0.500  0.000  0.08

Properties
The crystal system is tetragonal. As for the symmetry: P4/mmm. For the raw formation energy, the calculation gives 0.471 eV per atom.


# 14
AgAsAuSe2 | meta-GGA SCAN | PBEsol geometry

Cell: 4.784 5.126 5.126 Å, 90.00 90.00 90.00°
Each line ends with the local moment (μB).
Element x y z (fractional)
Se  0.000  0.500  0.000  0.03
As  0.500  0.000  0.000  0.24
Ag  0.500  0.500  0.500  0.01
Se  0.000  0.000  0.500  0.03
Au  0.000  0.000  0.000  0.02

Properties
The crystal system is tetragonal. As for the symmetry: P4/mmm. For the raw formation energy, the calculation gives 0.722 eV per atom.


# 15
Ag2BAs | meta-GGA SCAN | PBEsol geometry

Cell: 3.994 3.994 8.509 Å, 103.57 103.57 90.00°
Element x y z (fractional)
Ag  0.125  0.155  0.750
B  0.750  0.250  0.500
As  0.250  0.750  0.500
B  0.500  0.500  0.000
Ag  0.845  0.375  0.250
As  0.000  0.000  0.000
Ag  0.405  0.875  0.250
Ag  0.625  0.595  0.750

Properties
The crystal system is tetragonal. The calculation puts the formation energy at 3.37 eV per formula unit. As for the symmetry: I-42d.


What did we get for magnetization? Answer: 0.0 0.0 0.0 0.0 0.0 0.0 0.0 0.0 0.0 0.0 0.0 0.0 1.6 0.5 0.0 μB/f.u., in the order shown.